No. 1
# LaWSe4 | Alexandria via LeMat-Bulk | PBE | optimized geometry
# SG: F-43m, No. 216
# Crystal system: cubic
data_LaWSe4
_symmetry_space_group_name_H-M 'P 1'
_symmetry_Int_Tables_number 1
_symmetry_space_group_name_Hall 'P 1'
_cell_length_a 5.808
_cell_length_b 5.808
_cell_length_c 5.808
_cell_angle_alpha 60.00
_cell_angle_beta 60.00
_cell_angle_gamma 60.00
loop_
_atom_site_label
_atom_site_fract_x
_atom_site_fract_y
_atom_site_fract_z
_atom_site_occupancy
La1 0.000 0.000 0.000 1
W1 0.750 0.750 0.750 1
Se1 0.872 0.376 0.376 1
Se2 0.376 0.376 0.872 1
Se3 0.376 0.872 0.376 1
Se4 0.376 0.376 0.376 1

***

No. 2
# LaW2Se | Alexandria via LeMat-Bulk | PBE | optimized geometry
# Energy above the lowest structure with this stoichiometry: 1.50 eV/f.u.
# SG: Pmmm, No. 47
# Crystal system: orthorhombic
data_LaW2Se
_symmetry_space_group_name_H-M 'P 1'
_symmetry_Int_Tables_number 1
_symmetry_space_group_name_Hall 'P 1'
_cell_length_a 3.370
_cell_length_b 4.528
_cell_length_c 5.466
_cell_angle_alpha 90.00
_cell_angle_beta 90.00
_cell_angle_gamma 90.00
loop_
_atom_site_label
_atom_site_fract_x
_atom_site_fract_y
_atom_site_fract_z
_atom_site_occupancy
La1 0.500 0.000 0.500 1
Se1 0.000 0.500 0.500 1
W1 0.000 0.000 0.000 1
W2 0.500 0.500 0.000 1

***

No. 3
# LaW2Se | Alexandria via LeMat-Bulk | PBE | optimized geometry
# Energy above the lowest structure with this stoichiometry: 1.02 eV/f.u.
# SG: C2/m, No. 12
# Crystal system: monoclinic
data_LaW2Se
_symmetry_space_group_name_H-M 'P 1'
_symmetry_Int_Tables_number 1
_symmetry_space_group_name_Hall 'P 1'
_cell_length_a 6.212
_cell_length_b 6.212
_cell_length_c 5.083
_cell_angle_alpha 66.19
_cell_angle_beta 66.19
_cell_angle_gamma 29.82
loop_
_atom_site_label
_atom_site_fract_x
_atom_site_fract_y
_atom_site_fract_z
_atom_site_occupancy
La1 0.250 0.250 0.250 1
Se1 0.750 0.750 0.750 1
W1 0.036 0.036 0.887 1
W2 0.464 0.464 0.613 1

***

No. 4
# LaW2Se | Alexandria via LeMat-Bulk | PBE | optimized geometry
# Energy above the lowest structure with this stoichiometry: 2.78 eV/f.u.
# SG: P4/mmm, No. 123
# Crystal system: tetragonal
data_LaW2Se
_symmetry_space_group_name_H-M 'P 1'
_symmetry_Int_Tables_number 1
_symmetry_space_group_name_Hall 'P 1'
_cell_length_a 3.054
_cell_length_b 3.054
_cell_length_c 8.520
_cell_angle_alpha 90.00
_cell_angle_beta 90.00
_cell_angle_gamma 90.00
loop_
_atom_site_label
_atom_site_fract_x
_atom_site_fract_y
_atom_site_fract_z
_atom_site_occupancy
La1 0.500 0.500 0.250 1
Se1 0.500 0.500 0.750 1
W1 0.000 0.000 0.939 1
W2 0.000 0.000 0.561 1

***

Number 1: calculated density 7.653 Mg/m³, E_form (uncorrected) 0.57 eV/atom. Number 2: calculated density 11.658 Mg/m³, E_form (uncorrected) 0.44 eV/atom. Number 3: calculated density 10.973 Mg/m³, E_form (uncorrected) 0.32 eV/atom. Number 4: calculated density 12.234 Mg/m³, E_form (uncorrected) 0.77 eV/atom.